Material: Pm2NdGa
Method: DFT, PBE
State: relaxed

a b c (Å): 4.827 4.844 4.844
angles (deg): 90.00 90.00 90.00
Sites, in units of the cell vectors:
Pm 0.000 0.000 0.500
Pm 0.000 0.500 0.000
Ga 0.500 0.000 0.000
Nd 0.500 0.500 0.500

Output
Relative energy among the computed polymorphs: 23 meV per atom
DFT formation energy: -235 meV per atom

Material: K2ZnIrRh
Method: DFT, PBE
State: relaxed

a b c (Å): 5.824 4.709 5.824
angles (deg): 90.00 90.00 90.00
Each line ends with the local moment (μB).
Sites, in units of the cell vectors:
Zn 0.000 0.000 0.000  0.00
Ir 0.000 0.500 0.000  0.10
K 0.000 0.000 0.500  0.00
K 0.500 0.000 0.000  0.00
Rh 0.500 0.500 0.500  1.24

Output
DFT formation energy: 1220 meV per atom

Material: MoP2IrS
Method: DFT, PBE
State: relaxed

a b c (Å): 4.484 4.484 4.966
angles (deg): 90.00 90.00 90.00
Each line ends with the local moment (μB).
Sites, in units of the cell vectors:
S 0.000 0.000 0.500  -0.13
Ir 0.000 0.000 0.000  -0.01
P 0.000 0.500 0.000  -0.12
P 0.500 0.000 0.000  -0.12
Mo 0.500 0.500 0.500  3.08

Output
Formation energy from raw total energies: 1.0228 eV/atom
Relative energy among the computed polymorphs: 0 meV per atom

Material: KZn2I2
Method: DFT, PBE
State: relaxed

a b c (Å): 9.458 9.458 5.478
angles (deg): 90.00 90.00 90.00
Sites, in units of the cell vectors:
Zn 0.406 0.094 0.500
Zn 0.594 0.906 0.500
Zn 0.094 0.594 0.500
Zn 0.906 0.406 0.500
K 0.000 0.000 0.000
K 0.500 0.500 0.000
I 0.178 0.678 0.000
I 0.678 0.822 0.000
I 0.322 0.178 0.000
I 0.822 0.322 0.000

Output
Formation energy from raw total energies: -0.3795 eV/atom
Relative energy among the computed polymorphs: 17 meV per atom